DFT (PBE-GGA) results for a relaxed PrTm8Tl6 crystal.

Structure (POSCAR):
```
PrTm8Tl6
1.0
9.040 0.000 0.000
4.520 7.829 0.000
4.520 2.610 6.476
Tl Tm Pr
6 8 1
direct
0.724 0.407 0.803
0.593 0.934 0.197
0.934 0.276 0.197
0.066 0.724 0.803
0.276 0.593 0.197
0.407 0.066 0.803
0.560 0.222 0.330
0.667 0.667 0.998
0.222 0.889 0.330
0.440 0.778 0.670
0.111 0.440 0.670
0.889 0.560 0.330
0.333 0.333 0.002
0.778 0.111 0.670
0.000 0.000 0.000
```

Summary:
Energy of formation from the pure elements   -0.11 eV per atom
Total magnetic moment   0.000 μB/f.u.